1.
Crystalline Sc4TeS at its relaxed geometry, computed with GGA-PBE.

Summary:
As for the density of states at the Fermi level: 0.862 states/eV per atom. As for the crystal system: monoclinic. The total energy is -76.49 eV for the cell shown. Its symmetry is C2/c.

Cell and atoms, written as extended XYZ:
```
12
Lattice="3.7946 -6.8705 0.0000 3.7946 6.8705 0.0000 -3.2459 0.0000 5.2617" Properties=species:S:1:pos:R:3 pbc="T T T"
Sc 0.0447 3.9192 4.8473
Sc -0.5290 0.7979 3.8044
Sc 1.0940 -0.7979 1.1736
Sc 2.6757 3.9192 3.0451
Sc 1.6676 -3.9192 2.2165
Sc 3.2494 0.7979 4.0881
Sc 4.8723 -0.7979 1.4573
Sc 4.2987 -3.9192 0.4143
Te 2.9831 1.4942 1.3154
Te 1.3602 -1.4942 3.9462
S 1.3602 5.9445 3.9462
S 2.9831 -5.9445 1.3154
```

2.
Crystalline Sc3TeS at its relaxed geometry, computed with GGA-PBE.

Summary:
As for the density of states at the Fermi level: 1.858 states/eV per atom. As for the crystal system: cubic. The total energy is -30.34 eV for the cell shown. Its symmetry is Pm-3m. For the energy above the lowest structure with this stoichiometry, the calculation gives 358 meV/atom.

Cell and atoms, written as extended XYZ:
```
5
Lattice="4.8384 0.0000 0.0000 0.0000 4.8384 0.0000 0.0000 0.0000 4.8384" Properties=species:S:1:pos:R:3 pbc="T T T"
Sc 0.0000 0.0000 2.4192
Sc 0.0000 2.4192 0.0000
Sc 2.4192 0.0000 0.0000
Te 2.4192 2.4192 2.4192
S 0.0000 0.0000 0.0000
```

3.
Crystalline Sc4Te3S at its relaxed geometry, computed with GGA-PBE.

Summary:
As for the density of states at the Fermi level: 0.398 states/eV per atom. As for the crystal system: orthorhombic. The total energy is -93.84 eV for the cell shown. Its symmetry is Pmn2_1.

Cell and atoms, written as extended XYZ:
```
16
Lattice="8.9046 0.0000 0.0000 0.0000 7.6085 0.0000 0.0000 0.0000 7.1744" Properties=species:S:1:pos:R:3 pbc="T T T"
Sc 0.0000 0.6719 0.0000
Sc 0.0000 6.4069 2.9705
Sc 1.7200 5.4387 0.0172
Sc 2.7323 2.1698 3.6044
Sc 4.4523 1.2016 6.5577
Sc 4.4523 6.9366 3.5872
Sc 6.1723 2.1698 3.6044
Sc 7.1847 5.4387 0.0172
Te 0.0000 1.6261 2.7504
Te 2.0024 2.6367 6.3475
Te 2.4499 4.9718 2.7603
Te 4.4523 5.9825 6.3376
Te 6.4547 4.9718 2.7603
Te 6.9022 2.6367 6.3475
S 0.0000 6.3131 5.5790
S 4.4523 1.2954 1.9918
```

4.
Crystalline Sc2Tl2TeS6 at its relaxed geometry, computed with GGA-PBE.

Summary:
As for the crystal system: monoclinic. The total energy is -56.26 eV for the cell shown. Its symmetry is C2/m.

Cell and atoms, written as extended XYZ:
```
11
Lattice="3.3058 -5.7199 0.0000 3.3058 5.7199 0.0000 -2.2222 0.0000 7.5613" Properties=species:S:1:pos:R:3 pbc="T T T"
Sc 3.3058 3.8008 0.0000
Sc 3.3058 -3.8008 0.0000
Tl 2.1947 1.9093 3.7806
Tl 2.1947 -1.9093 3.7806
Te 3.3058 0.0000 0.0000
S -0.0395 1.9346 6.1260
S 1.0603 0.0000 1.4328
S -0.0395 -1.9346 6.1260
S 4.4288 1.9346 1.4353
S 3.3290 0.0000 6.1284
S 4.4288 -1.9346 1.4353
```

5.
Crystalline ScTlTeS at its relaxed geometry, computed with GGA-PBE.

Summary:
As for the crystal system: monoclinic. The total energy is -40.77 eV for the cell shown. Its symmetry is Cm.

Cell and atoms, written as extended XYZ:
```
8
Lattice="6.9511 0.0000 0.0000 0.0000 4.0132 0.0000 -2.3242 0.0000 7.9874" Properties=species:S:1:pos:R:3 pbc="T T T"
Sc 0.0000 0.0000 0.0000
Sc 3.4756 2.0066 0.0000
Tl 1.1608 2.0066 4.2198
Tl 4.6363 0.0000 4.2198
Te 2.3178 0.0000 1.8379
Te 5.7934 2.0066 1.8379
S -1.1652 2.0066 6.7781
S 2.3103 0.0000 6.7781
```

6.
Crystalline TmScTeS at its relaxed geometry, computed with GGA-PBE.

Summary:
As for the density of states at the Fermi level: 0.070 states/eV per atom. As for the crystal system: trigonal. The total energy is -72.88 eV for the cell shown. Its symmetry is R3m.

Cell and atoms, written as extended XYZ:
```
12
Lattice="3.8831 0.0000 0.0000 -1.9416 3.3629 0.0000 0.0000 0.0000 20.7238" Properties=species:S:1:pos:R:3 pbc="T T T"
Tm 0.0000 0.0000 0.0000
Tm 0.0000 2.2419 13.8159
Tm 1.9416 1.1210 6.9079
Sc 0.0000 0.0000 4.0674
Sc 0.0000 2.2419 17.8833
Sc 1.9416 1.1210 10.9754
Te 0.0000 0.0000 8.9819
Te 0.0000 2.2419 2.0739
Te 1.9416 1.1210 15.8898
S 0.0000 0.0000 12.3731
S 0.0000 2.2419 5.4652
S 1.9416 1.1210 19.2811
```

7.
Crystalline YScTeS at its relaxed geometry, computed with GGA-PBE.

Summary:
As for the density of states at the Fermi level: 0.068 states/eV per atom. As for the crystal system: trigonal. The total energy is -79.26 eV for the cell shown. Its symmetry is R3m.

Cell and atoms, written as extended XYZ:
```
12
Lattice="3.9098 0.0000 0.0000 -1.9549 3.3860 0.0000 0.0000 0.0000 20.9902" Properties=species:S:1:pos:R:3 pbc="T T T"
Y 0.0000 0.0000 0.0000
Y 0.0000 2.2573 13.9935
Y 1.9549 1.1287 6.9967
Sc 0.0000 0.0000 4.1101
Sc 0.0000 2.2573 18.1036
Sc 1.9549 1.1287 11.1068
Te 0.0000 0.0000 9.1225
Te 0.0000 2.2573 2.1258
Te 1.9549 1.1287 16.1192
S 0.0000 0.0000 12.4864
S 0.0000 2.2573 5.4896
S 1.9549 1.1287 19.4831
```

8.
Crystalline ScZnTe2S at its relaxed geometry, computed with GGA-PBE.

Summary:
As for the density of states at the Fermi level: 1.317 states/eV per atom. As for the crystal system: tetragonal. The total energy is -16.39 eV for the cell shown. Its symmetry is P4/mmm.

Cell and atoms, written as extended XYZ:
```
5
Lattice="5.4661 0.0000 0.0000 0.0000 5.4661 0.0000 0.0000 0.0000 5.5291" Properties=species:S:1:pos:R:3 pbc="T T T"
Sc 0.0000 0.0000 0.0000
Zn 0.0000 0.0000 2.7645
Te 0.0000 2.7331 0.0000
Te 2.7331 0.0000 0.0000
S 2.7331 2.7331 2.7645
```

no.,M_tot (Bohr magnetons per cell),formation energy from raw total energies (eV per formula unit)
1,0.00,-5.65
2,0.00,-4.07
3,4.03,-8.04
4,0.00,-10.96
5,0.00,-4.42
6,0.00,-6.22
7,0.00,-6.36
8,1.94,1.63